# PBEsol Ni3C, relaxed
# * Fermi-level density of states: 16.983 states/eV/cell
# * total moment: 0.00 μB per cell
# * volume: 9.4 A^3/atom
# * formation energy: 1.45 kJ per mole of atoms
# * relative energy among the computed polymorphs: 0 meV per atom
data_Ni3C
_cell_length_a 4.5205
_cell_length_b 4.5205
_cell_length_c 12.7702
_cell_angle_alpha 90.00
_cell_angle_beta 90.00
_cell_angle_gamma 120.00
_space_group_name_H-M_alt 'R -3 c'
_space_group_IT_number 167
_space_group_name_Hall '-R 3 2"c'
loop_
_atom_site_label
_atom_site_type_symbol
_atom_site_fract_x
_atom_site_fract_y
_atom_site_fract_z
Ni1 Ni 0.0000 0.3259 0.2500
C1 C 0.0000 0.0000 0.0000



# PBEsol HgP2PtCl, relaxed
# * formation energy without anion corrections: 470 meV per atom
# * Fermi-level density of states: 3.937 states/eV/cell
# * total moment: 0.00 μB per cell
# * volume: 21.3 A^3/atom
data_HgP2PtCl
_cell_length_a 4.618
_cell_length_b 4.618
_cell_length_c 4.998
_cell_angle_alpha 90.00
_cell_angle_beta 90.00
_cell_angle_gamma 90.00
_space_group_name_H-M_alt 'P 4/m m m'
_space_group_IT_number 123
_space_group_name_Hall '-P 4 2'
loop_
_atom_site_label
_atom_site_type_symbol
_atom_site_fract_x
_atom_site_fract_y
_atom_site_fract_z
Hg1 Hg 0.000 0.000 0.000
P1 P 0.000 0.500 0.500
Pt1 Pt 0.500 0.500 0.500
Cl1 Cl 0.500 0.500 0.000



# PBEsol ZrTe3F, relaxed
# * formation energy without anion corrections: -78 meV per atom
# * Fermi-level density of states: 5.209 states/eV/cell
# * total moment: 1.05 μB per cell
# * volume: 23.3 A^3/atom
data_ZrTe3F
_cell_length_a 4.881
_cell_length_b 4.881
_cell_length_c 4.881
_cell_angle_alpha 90.00
_cell_angle_beta 90.00
_cell_angle_gamma 90.00
_space_group_name_H-M_alt 'P m -3 m'
_space_group_IT_number 221
_space_group_name_Hall '-P 4 2 3'
loop_
_atom_site_label
_atom_site_type_symbol
_atom_site_fract_x
_atom_site_fract_y
_atom_site_fract_z
Zr1 Zr 0.000 0.000 0.000
Te1 Te 0.000 0.500 0.500
F1 F 0.500 0.500 0.500



# PBEsol Zn2SO, relaxed
# * formation energy without anion corrections: -1069 meV per atom
# * total moment: 0.00 μB per cell
# * volume: 15.1 A^3/atom
data_Zn2SO
_cell_length_a 4.953
_cell_length_b 4.953
_cell_length_c 9.858
_cell_angle_alpha 90.00
_cell_angle_beta 90.00
_cell_angle_gamma 90.00
_space_group_name_H-M_alt 'I -4 2 d'
_space_group_IT_number 122
_space_group_name_Hall 'I -4 2bw'
loop_
_atom_site_label
_atom_site_type_symbol
_atom_site_fract_x
_atom_site_fract_y
_atom_site_fract_z
Zn1 Zn 0.196 0.250 0.125
S1 S 0.000 0.000 0.500
O1 O 0.000 0.000 0.000



# PBEsol ZnAg2I4, relaxed
# * formation energy without anion corrections: -344 meV per atom
# * Fermi-level density of states: 0.000 states/eV/cell
# * total moment: 0.00 μB per cell
# * volume: 34.0 A^3/atom
data_ZnAg2I4
_cell_length_a 8.852
_cell_length_b 7.502
_cell_length_c 7.160
_cell_angle_alpha 90.00
_cell_angle_beta 90.00
_cell_angle_gamma 90.00
_space_group_name_H-M_alt 'P m n 21'
_space_group_IT_number 31
loop_
_space_group_symop_operation_xyz
'x,y,z'
'-x+1/2,-y,z+1/2'
'-x,y,z'
'x+1/2,-y,z+1/2'
loop_
_atom_site_label
_atom_site_type_symbol
_atom_site_fract_x
_atom_site_fract_y
_atom_site_fract_z
Zn1 Zn 0.000 0.173 0.000
Ag1 Ag 0.248 0.678 0.004
I1 I 0.000 0.145 0.363
I2 I 0.000 0.854 0.851
I3 I 0.249 0.678 0.392



# PBEsol Rb3TiBr, relaxed
# * formation energy without anion corrections: 175 meV per atom
# * Fermi-level density of states: 12.140 states/eV/cell
# * total moment: 3.76 μB per cell
# * volume: 54.8 A^3/atom
data_Rb3TiBr
_cell_length_a 6.494
_cell_length_b 6.494
_cell_length_c 6.494
_cell_angle_alpha 90.00
_cell_angle_beta 90.00
_cell_angle_gamma 90.00
_space_group_name_H-M_alt 'P m -3 m'
_space_group_IT_number 221
_space_group_name_Hall '-P 4 2 3'
loop_
_atom_site_label
_atom_site_type_symbol
_atom_site_fract_x
_atom_site_fract_y
_atom_site_fract_z
Rb1 Rb 0.000 0.000 0.500
Ti1 Ti 0.500 0.500 0.500
Br1 Br 0.000 0.000 0.000